Entry 1:
! SrYP2O8 | Alexandria | PBE | relaxed; values from VASP
! D(E_F) in states/eV/atom: 0.71
! Uncorrected formation energy in eV per atom: -2.6617
&SYSTEM
  ibrav = 0, nat = 12, ntyp = 4
/
ATOMIC_SPECIES
O 16.00 O.upf
P 30.97 P.upf
Sr 87.62 Sr.upf
Y 88.91 Y.upf
ATOMIC_POSITIONS crystal
O 0.3540 0.1786 0.2942
O 0.6667 0.3333 0.0158
O 0.8214 0.1753 0.2942
O 0.3333 0.6667 0.9842
O 0.1786 0.8247 0.7058
O 0.6460 0.8214 0.7058
O 0.1753 0.3540 0.7058
O 0.8247 0.6460 0.2942
P 0.3333 0.6667 0.7745
P 0.6667 0.3333 0.2255
Sr 0.0000 0.0000 0.0000
Y 0.0000 0.0000 0.5000
CELL_PARAMETERS angstrom
5.3957 0.0000 0.0000
-2.6978 4.6728 0.0000
0.0000 0.0000 7.3770

---

Entry 2:
! Dy2H2SeS | Alexandria | PBE | relaxed; values from VASP
! VASP energy in Ha/atom: -0.1986
! D(E_F) in states/eV/atom: 0.00
&SYSTEM
  ibrav = 0, nat = 6, ntyp = 4
/
ATOMIC_SPECIES
Se 78.96 Se.upf
H 1.01 H.upf
Dy 162.50 Dy.upf
S 32.06 S.upf
ATOMIC_POSITIONS crystal
Se 0.0000 0.0000 0.0000
H 0.3333 0.6667 0.2557
H 0.6667 0.3333 0.7443
Dy 0.6667 0.3333 0.2594
Dy 0.3333 0.6667 0.7406
S 0.0000 0.0000 0.5000
CELL_PARAMETERS angstrom
-0.1162 -0.0886 3.7980
0.0732 -3.2464 -1.9753
7.6134 0.0296 0.2336

---

Entry 3:
! MgPa2Ni2 | Alexandria | PBE | relaxed; values from VASP
! D(E_F) in states/eV/atom: 1.26
! Formation energy from the elements in meV per atom: -278
&SYSTEM
  ibrav = 0, nat = 10, ntyp = 3
/
ATOMIC_SPECIES
Pa 231.04 Pa.upf
Mg 24.30 Mg.upf
Ni 58.69 Ni.upf
ATOMIC_POSITIONS crystal
Pa 0.0000 0.3265 0.6735
Pa 0.0000 0.6735 0.3265
Pa 0.0000 0.8265 0.8265
Pa 0.0000 0.1735 0.1735
Mg 0.5000 0.5000 0.0000
Mg 0.5000 0.0000 0.5000
Ni 0.5000 0.6269 0.6269
Ni 0.5000 0.1269 0.8731
Ni 0.5000 0.8731 0.1269
Ni 0.5000 0.3731 0.3731
CELL_PARAMETERS angstrom
3.4570 0.0000 0.0000
0.0000 7.4961 0.0000
0.0000 0.0000 7.4961

---

Entry 4:
! LaVZn4 | Alexandria | PBE | relaxed; values from VASP
! D(E_F) in states/eV/atom: 0.64
! Formation energy from the elements in meV per atom: -102
&SYSTEM
  ibrav = 0, nat = 6, ntyp = 3
/
ATOMIC_SPECIES
Zn 65.41 Zn.upf
V 50.94 V.upf
La 138.91 La.upf
ATOMIC_POSITIONS crystal
Zn 0.6264 0.1209 0.6264
Zn 0.6264 0.6264 0.1209
Zn 0.1209 0.6264 0.6264
Zn 0.6264 0.6264 0.6264
V 0.0000 0.0000 0.0000
La 0.2500 0.2500 0.2500
CELL_PARAMETERS angstrom
5.3611 0.0000 0.0000
2.6805 4.6428 0.0000
2.6805 1.5476 4.3773

---

Entry 5:
! AcPr2CuSe5 | Alexandria | PBE | relaxed; values from VASP
! Uncorrected formation energy in eV per atom: -1.5773
&SYSTEM
  ibrav = 0, nat = 18, ntyp = 4
/
ATOMIC_SPECIES
Se 78.96 Se.upf
Ac 227.00 Ac.upf
Pr 140.91 Pr.upf
Cu 63.55 Cu.upf
ATOMIC_POSITIONS crystal
Se 0.5036 0.0072 0.2826
Se 0.3328 0.6657 0.3250
Se 0.6672 0.3343 0.8250
Se 0.0494 0.0988 0.0588
Se 0.3625 0.7250 0.0051
Se 0.6983 0.3965 0.2002
Se 0.3017 0.6035 0.7002
Se 0.4964 0.9928 0.7826
Se 0.9506 0.9012 0.5588
Se 0.6375 0.2750 0.5051
Ac 0.1999 0.3998 0.0069
Ac 0.8001 0.6002 0.5069
Pr 0.8919 0.7837 0.8108
Pr 0.1081 0.2163 0.3108
Pr 0.9127 0.8253 0.1835
Pr 0.0873 0.1747 0.6835
Cu 0.4331 0.8663 0.4511
Cu 0.5669 0.1337 0.9511
CELL_PARAMETERS angstrom
4.1556 0.0000 0.0000
-2.0778 10.0106 0.0000
0.0000 0.0000 11.8321

---

Entry 6:
! Sc2HPtAu | Alexandria | PBE | relaxed; values from VASP
! D(E_F) in states/eV/atom: 0.63
! Distance to the lowest polymorph of the same formula in meV/atom: 0
&SYSTEM
  ibrav = 0, nat = 5, ntyp = 4
/
ATOMIC_SPECIES
Sc 44.96 Sc.upf
Au 196.97 Au.upf
H 1.01 H.upf
Pt 195.08 Pt.upf
ATOMIC_POSITIONS crystal
Sc 0.5000 0.0000 0.0000
Sc 0.0000 0.5000 0.0000
Au 0.5000 0.5000 0.5000
H 0.0000 0.0000 0.0000
Pt 0.0000 0.0000 0.5000
CELL_PARAMETERS angstrom
4.6593 0.0000 0.0000
0.0000 4.6593 0.0000
0.0000 0.0000 3.6154

---

Entry 7:
! YPdSe2 | Alexandria | PBE | relaxed; values from VASP
! D(E_F) in states/eV/atom: 1.43
! Uncorrected formation energy in eV per atom: -0.9461
&SYSTEM
  ibrav = 0, nat = 4, ntyp = 3
/
ATOMIC_SPECIES
Y 88.91 Y.upf
Pd 106.42 Pd.upf
Se 78.96 Se.upf
ATOMIC_POSITIONS crystal
Y 0.0000 0.0000 0.0000
Pd 0.5000 0.5000 0.5000
Se 0.2500 0.2500 0.2500
Se 0.7500 0.7500 0.7500
CELL_PARAMETERS angstrom
1.1054 -1.6345 4.4494
2.7995 2.6749 2.9494
-1.9376 2.1280 3.9253

---

Entry 8:
! W2SeBr | Alexandria | PBE | relaxed; values from VASP
! D(E_F) in states/eV/atom: 0.78
! Distance to the lowest polymorph of the same formula in meV/atom: 932
! Uncorrected formation energy in eV per atom: 1.0725
&SYSTEM
  ibrav = 0, nat = 4, ntyp = 3
/
ATOMIC_SPECIES
W 183.84 W.upf
Br 79.90 Br.upf
Se 78.96 Se.upf
ATOMIC_POSITIONS crystal
W 0.7500 0.7500 0.7500
W 0.2500 0.2500 0.2500
Br 0.5000 0.5000 0.5000
Se 0.0000 0.0000 0.0000
CELL_PARAMETERS angstrom
-0.1164 -2.8116 3.5097
-1.6184 1.4053 3.9550
-3.9425 -1.5627 1.5003

---

Entry 9:
! NdEuPt | Alexandria | PBE | relaxed; values from VASP
! D(E_F) in states/eV/atom: 0.94
! Distance to the lowest polymorph of the same formula in meV/atom: 0
! Formation energy from the elements in meV per atom: -720
&SYSTEM
  ibrav = 0, nat = 3, ntyp = 3
/
ATOMIC_SPECIES
Pt 195.08 Pt.upf
Eu 151.96 Eu.upf
Nd 144.24 Nd.upf
ATOMIC_POSITIONS crystal
Pt 0.2500 0.2500 0.2500
Eu 0.0000 0.0000 0.0000
Nd 0.5000 0.5000 0.5000
CELL_PARAMETERS angstrom
5.0277 0.0000 0.0000
2.5138 4.3541 0.0000
2.5138 1.4514 4.1051

---

Entry 10:
! PrNdTh | Alexandria | PBE | relaxed; values from VASP
! D(E_F) in states/eV/atom: 1.42
! Distance to the lowest polymorph of the same formula in meV/atom: 0
! Formation energy from the elements in meV per atom: 24
&SYSTEM
  ibrav = 0, nat = 6, ntyp = 3
/
ATOMIC_SPECIES
Th 232.04 Th.upf
Pr 140.91 Pr.upf
Nd 144.24 Nd.upf
ATOMIC_POSITIONS crystal
Th 0.3180 0.3180 0.8278
Th 0.8180 0.8180 0.6749
Pr 0.8177 0.8177 0.3362
Pr 0.3178 0.3178 0.1666
Nd 0.8180 0.8180 0.9898
Nd 0.3179 0.3179 0.5129
CELL_PARAMETERS angstrom
-1.2537 -2.0403 -2.7450
3.2405 -1.6436 -0.2589
-4.6918 -10.8586 10.2138

---

Entry 11:
! Th3O | Alexandria | PBE | relaxed; values from VASP
! D(E_F) in states/eV/atom: 1.19
! Uncorrected formation energy in eV per atom: 0.1248
&SYSTEM
  ibrav = 0, nat = 4, ntyp = 2
/
ATOMIC_SPECIES
Th 232.04 Th.upf
O 16.00 O.upf
ATOMIC_POSITIONS crystal
Th 0.5000 0.5000 0.0000
Th 0.2500 0.7500 0.5000
Th 0.7500 0.2500 0.5000
O 0.0000 0.0000 0.0000
CELL_PARAMETERS angstrom
5.9844 0.0010 0.0000
2.6039 5.3883 0.0000
-4.2942 -2.6946 3.1801

---

Entry 12:
! K3Pm2InSe6 | Alexandria | PBE | relaxed; values from VASP
! Uncorrected formation energy in eV per atom: -1.4281
&SYSTEM
  ibrav = 0, nat = 12, ntyp = 4
/
ATOMIC_SPECIES
In 114.82 In.upf
Pm 145.00 Pm.upf
K 39.10 K.upf
Se 78.96 Se.upf
ATOMIC_POSITIONS crystal
In 0.0000 0.0000 0.0000
Pm 0.6665 0.3335 0.0000
Pm 0.3335 0.6665 0.0000
K 0.8322 0.1678 0.5000
K 0.1678 0.8322 0.5000
K 0.5000 0.5000 0.5000
Se 0.2527 0.2527 0.7933
Se 0.9311 0.6089 0.7932
Se 0.7473 0.7473 0.2067
Se 0.6089 0.9311 0.7932
Se 0.3911 0.0689 0.2068
Se 0.0689 0.3911 0.2068
CELL_PARAMETERS angstrom
7.3730 -0.0024 -0.0007
-3.6868 6.3850 -0.0007
-1.2302 -2.1301 7.7308

---

Entry 13:
! Y2Sc2Tl | Alexandria | PBE | relaxed; values from VASP
! D(E_F) in states/eV/atom: 1.26
! Distance to the lowest polymorph of the same formula in meV/atom: 0
! Formation energy from the elements in meV per atom: -39
&SYSTEM
  ibrav = 0, nat = 10, ntyp = 3
/
ATOMIC_SPECIES
Sc 44.96 Sc.upf
Y 88.91 Y.upf
Tl 204.38 Tl.upf
ATOMIC_POSITIONS crystal
Sc 0.6439 0.1439 0.0000
Sc 0.8561 0.6439 0.0000
Sc 0.1439 0.3561 0.0000
Sc 0.3561 0.8561 0.0000
Y 0.3436 0.1564 0.5000
Y 0.8436 0.3436 0.5000
Y 0.6564 0.8436 0.5000
Y 0.1564 0.6564 0.5000
Tl 0.0000 0.0000 0.0000
Tl 0.5000 0.5000 0.0000
CELL_PARAMETERS angstrom
-3.3416 -6.8500 1.0021
3.7066 -0.8306 6.6831
-3.5996 2.0860 2.2557

---

Entry 14:
! ZrCo2CuC | Alexandria | PBE | relaxed; values from VASP
! D(E_F) in states/eV/atom: 0.74
! Formation energy from the elements in meV per atom: 993
&SYSTEM
  ibrav = 0, nat = 5, ntyp = 4
/
ATOMIC_SPECIES
Co 58.93 Co.upf
Zr 91.22 Zr.upf
Cu 63.55 Cu.upf
C 12.01 C.upf
ATOMIC_POSITIONS crystal
Co 0.5000 0.0000 0.0000
Co 0.0000 0.0000 0.5000
Zr 0.5000 0.5000 0.5000
Cu 0.0000 0.0000 0.0000
C 0.0000 0.5000 0.0000
CELL_PARAMETERS angstrom
-1.7379 -2.4076 -3.2957
2.8652 -2.0591 -0.0067
-1.9188 -2.6796 2.9693

---

Entry 15:
! TiVZn2 | Alexandria | PBE | relaxed; values from VASP
! D(E_F) in states/eV/atom: 1.02
! Distance to the lowest polymorph of the same formula in meV/atom: 88
! Formation energy from the elements in meV per atom: 7
&SYSTEM
  ibrav = 0, nat = 4, ntyp = 3
/
ATOMIC_SPECIES
V 50.94 V.upf
Ti 47.87 Ti.upf
Zn 65.41 Zn.upf
ATOMIC_POSITIONS crystal
V 0.0000 0.0000 0.0000
Ti 0.5000 0.5000 0.5000
Zn 0.2500 0.2500 0.2500
Zn 0.7500 0.7500 0.7500
CELL_PARAMETERS angstrom
-3.6786 -0.8522 2.2051
-3.0708 -2.5572 -1.7754
-0.7078 -4.0046 1.6072

---

Entry 16:
! In2OsRh | Alexandria | PBE | relaxed; values from VASP
! D(E_F) in states/eV/atom: 1.10
! Distance to the lowest polymorph of the same formula in meV/atom: 604
! Formation energy from the elements in meV per atom: 669
&SYSTEM
  ibrav = 0, nat = 8, ntyp = 3
/
ATOMIC_SPECIES
Os 190.23 Os.upf
In 114.82 In.upf
Rh 102.91 Rh.upf
ATOMIC_POSITIONS crystal
Os 0.0000 0.0000 0.0000
Os 0.7500 0.2500 0.5000
In 0.6195 0.1250 0.2500
In 0.1305 0.6250 0.2500
In 0.3750 0.3805 0.7500
In 0.8750 0.8695 0.7500
Rh 0.2500 0.7500 0.5000
Rh 0.5000 0.5000 0.0000
CELL_PARAMETERS angstrom
7.2979 0.0000 0.0000
0.0000 7.2979 0.0000
3.6490 3.6490 2.8815

---

Entry 17:
! Na2TbHg3 | Alexandria | PBE | relaxed; values from VASP
! D(E_F) in states/eV/atom: 0.57
! Formation energy from the elements in meV per atom: -292
&SYSTEM
  ibrav = 0, nat = 12, ntyp = 3
/
ATOMIC_SPECIES
Hg 200.59 Hg.upf
Na 22.99 Na.upf
Tb 158.93 Tb.upf
ATOMIC_POSITIONS crystal
Hg 0.4995 0.0000 0.2444
Hg 0.8312 0.3380 0.7616
Hg 0.8308 0.3380 0.2384
Hg 0.1688 0.6620 0.2384
Hg 0.1692 0.6620 0.7616
Hg 0.5005 0.0000 0.7556
Na 0.3340 0.3321 0.5000
Na 0.0000 0.0000 0.5000
Na 0.6660 0.6679 0.5000
Na 0.0000 0.0000 0.0000
Tb 0.6657 0.6686 0.0000
Tb 0.3343 0.3314 0.0000
CELL_PARAMETERS angstrom
-0.8928 1.1750 5.0022
-0.5569 -7.0316 4.2711
7.4561 0.1911 1.2882

---

Entry 18:
! ReRu2Pb | Alexandria | PBE | relaxed; values from VASP
! D(E_F) in states/eV/atom: 1.33
! Formation energy from the elements in meV per atom: 734
&SYSTEM
  ibrav = 0, nat = 4, ntyp = 3
/
ATOMIC_SPECIES
Ru 101.07 Ru.upf
Pb 207.20 Pb.upf
Re 186.21 Re.upf
ATOMIC_POSITIONS crystal
Ru 0.7383 0.2383 0.5000
Ru 0.0203 0.0203 0.0000
Pb 0.4960 0.4960 0.0000
Re 0.2454 0.7454 0.5000
CELL_PARAMETERS angstrom
5.5033 -0.0179 -0.0004
2.7311 4.7778 0.0004
-3.5556 -3.3516 2.5321

---

Entry 19:
! Ba2NbBO6 | Alexandria | PBE | relaxed; values from VASP
! D(E_F) in states/eV/atom: 0.00
! Uncorrected formation energy in eV per atom: -2.5020
&SYSTEM
  ibrav = 0, nat = 10, ntyp = 4
/
ATOMIC_SPECIES
O 16.00 O.upf
Ba 137.33 Ba.upf
Nb 92.91 Nb.upf
B 10.81 B.upf
ATOMIC_POSITIONS crystal
O 0.6837 0.3163 0.0000
O 0.7839 0.7839 0.4318
O 0.2161 0.2161 0.5682
O 0.2157 0.2157 0.0004
O 0.3163 0.6837 0.0000
O 0.7843 0.7843 0.9996
Ba 0.7500 0.2500 0.5000
Ba 0.2500 0.7500 0.5000
Nb 0.0000 0.0000 0.0000
B 0.5000 0.5000 0.0000
CELL_PARAMETERS angstrom
-3.4203 -0.5366 -4.5774
2.5110 -4.0289 -3.2252
-2.8376 -5.4946 -1.7443

---

Entry 20:
! Sc2PbBr | Alexandria | PBE | relaxed; values from VASP
! D(E_F) in states/eV/atom: 1.07
! Distance to the lowest polymorph of the same formula in meV/atom: 54
! Uncorrected formation energy in eV per atom: -0.5537
&SYSTEM
  ibrav = 0, nat = 4, ntyp = 3
/
ATOMIC_SPECIES
Sc 44.96 Sc.upf
Pb 207.20 Pb.upf
Br 79.90 Br.upf
ATOMIC_POSITIONS crystal
Sc 0.0000 0.2503 0.5137
Sc 0.0000 0.2497 0.9863
Pb 0.5000 0.7500 0.7500
Br 0.5000 0.2500 0.2500
CELL_PARAMETERS angstrom
3.8534 0.0000 0.0000
0.0000 3.4675 -0.0451
0.0000 0.0955 7.4192